(1)
Compound: NiPbCl2
Source: Alexandria via LeMat-Bulk
Functional: PBE
Structure: relaxed

Geometry as CIF:
```
data_NiPbCl2
_chemical_formula_sum 'Ni1 Pb1 Cl2'
_space_group_name_H-M_alt 'P 1 2/m 1'
_space_group_IT_number 10
_space_group_name_Hall '-P 2y'
_cell_length_a 5.504
_cell_length_b 3.362
_cell_length_c 5.554
_cell_angle_alpha 90.00
_cell_angle_beta 115.63
_cell_angle_gamma 90.00
loop_
_atom_site_label
_atom_site_type_symbol
_atom_site_fract_x
_atom_site_fract_y
_atom_site_fract_z
Ni1 Ni 0.000 0.000 0.000
Pb1 Pb 0.500 0.000 0.500
Cl1 Cl 0.166 0.500 0.831
```

Properties
N(E_F) in states/eV/atom: 0.31
Total magnetization in μB per cell: 0.81
Calculated volume in Å³ per cell: 92.67
Formation energy without anion corrections in meV/atom: -364.4


(2)
Compound: BW2Se
Source: Alexandria via LeMat-Bulk
Functional: PBE
Structure: relaxed

Geometry as CIF:
```
data_BW2Se
_chemical_formula_sum 'B2 W4 Se2'
_space_group_name_H-M_alt 'A m m 2'
_space_group_IT_number 38
_space_group_name_Hall 'A 2 -2'
_cell_length_a 3.186
_cell_length_b 3.145
_cell_length_c 12.503
_cell_angle_alpha 90.00
_cell_angle_beta 90.00
_cell_angle_gamma 90.00
loop_
_atom_site_label
_atom_site_type_symbol
_atom_site_fract_x
_atom_site_fract_y
_atom_site_fract_z
B1 B 0.000 0.000 0.000
W1 W 0.000 0.000 0.634
W2 W 0.500 0.000 0.465
Se1 Se 0.500 0.000 0.251
```

Properties
N(E_F) in states/eV/atom: 0.59
Total magnetization in μB per cell: 0.00
Calculated volume in Å³ per cell: 125.25
Formation energy without anion corrections in meV/atom: 119.0


(3)
Compound: AcSbHPt6
Source: Alexandria via LeMat-Bulk
Functional: PBE
Structure: relaxed

Geometry as CIF:
```
data_AcSbHPt6
_chemical_formula_sum 'Ac4 Sb4 H4 Pt24'
_space_group_name_H-M_alt 'I m m a'
_space_group_IT_number 74
_space_group_name_Hall '-I 2b 2'
_cell_length_a 7.413
_cell_length_b 7.918
_cell_length_c 11.752
_cell_angle_alpha 90.00
_cell_angle_beta 90.00
_cell_angle_gamma 90.00
loop_
_atom_site_label
_atom_site_type_symbol
_atom_site_fract_x
_atom_site_fract_y
_atom_site_fract_z
Ac1 Ac 0.000 0.250 0.192
Sb1 Sb 0.250 0.250 0.750
H1 H 0.000 0.000 0.500
Pt1 Pt 0.000 0.250 0.465
Pt2 Pt 0.000 0.250 0.906
Pt3 Pt 0.214 0.005 0.613
```

Properties
Raw total energy in eV per cell: -200.4
N(E_F) in states/eV/atom: 0.37
Total magnetization in μB per cell: 0.00
Calculated volume in Å³ per cell: 689.83


(4)
Compound: Rb2NaTl
Source: Alexandria via LeMat-Bulk
Functional: PBE
Structure: relaxed

Geometry as CIF:
```
data_Rb2NaTl
_chemical_formula_sum 'Rb6 Na3 Tl3'
_space_group_name_H-M_alt 'R 3 m'
_space_group_IT_number 160
_space_group_name_Hall 'R 3 -2"'
_cell_length_a 5.6761
_cell_length_b 5.6761
_cell_length_c 24.1617
_cell_angle_alpha 90.00
_cell_angle_beta 90.00
_cell_angle_gamma 120.00
loop_
_atom_site_label
_atom_site_type_symbol
_atom_site_fract_x
_atom_site_fract_y
_atom_site_fract_z
Rb1 Rb 0.0000 0.0000 0.0000
Rb2 Rb 0.0000 0.0000 0.1954
Na1 Na 0.0000 0.0000 0.7637
Tl1 Tl 0.0000 0.0000 0.4295
```

Properties
N(E_F) in states/eV/atom: 1.08
Total magnetization in μB per cell: 0.01
Calculated volume in Å³ per cell: 674.16
E_form in eV/atom: 0.01


(5)
Compound: CoPb3
Source: Alexandria via LeMat-Bulk
Functional: PBE
Structure: relaxed

Geometry as CIF:
```
data_CoPb3
_chemical_formula_sum 'Co4 Pb12'
_space_group_name_H-M_alt 'C m c m'
_space_group_IT_number 63
_space_group_name_Hall '-C 2c 2'
_cell_length_a 9.517
_cell_length_b 12.007
_cell_length_c 3.766
_cell_angle_alpha 90.00
_cell_angle_beta 90.00
_cell_angle_gamma 90.00
loop_
_atom_site_label
_atom_site_type_symbol
_atom_site_fract_x
_atom_site_fract_y
_atom_site_fract_z
Co1 Co 0.000 0.052 0.250
Pb1 Pb 0.000 0.381 0.750
Pb2 Pb 0.194 0.132 0.750
```

Properties
N(E_F) in states/eV/atom: 0.93
Total magnetization in μB per cell: 5.24
Calculated volume in Å³ per cell: 430.37
E_form in eV/atom: 0.25


(6)
Compound: ZnInPt5
Source: Alexandria via LeMat-Bulk
Functional: PBE
Structure: relaxed

Geometry as CIF:
```
data_ZnInPt5
_chemical_formula_sum 'Zn1 In1 Pt5'
_space_group_name_H-M_alt 'P 4/m m m'
_space_group_IT_number 123
_space_group_name_Hall '-P 4 2'
_cell_length_a 4.041
_cell_length_b 4.041
_cell_length_c 7.205
_cell_angle_alpha 90.00
_cell_angle_beta 90.00
_cell_angle_gamma 90.00
loop_
_atom_site_label
_atom_site_type_symbol
_atom_site_fract_x
_atom_site_fract_y
_atom_site_fract_z
Zn1 Zn 0.000 0.000 0.000
In1 In 0.500 0.500 0.500
Pt1 Pt 0.000 0.000 0.500
Pt2 Pt 0.000 0.500 0.221
```

Properties
N(E_F) in states/eV/atom: 1.14
Total magnetization in μB per cell: 0.00
Calculated volume in Å³ per cell: 117.68
E_form in eV/atom: -0.23